Density functional theory data (PBE) for a geometry-optimized RbTmPuBr6 structure.

extended XYZ file:
```
18
Lattice="-1.250 3.654 -6.429 -5.708 -1.513 4.624 2.237 13.257 7.100" Properties=species:S:1:pos:R:3 pbc="T T T"
Rb 0.000 0.000 0.000
Tm -2.177 5.246 -0.970
Br -0.122 7.061 -1.489
Br -4.598 8.337 6.784
Br -4.444 12.163 6.625
Rb 1.119 6.629 3.550
Br -1.715 5.589 1.760
Pu -3.662 3.523 2.715
Br -0.276 3.235 -1.330
Pu -1.058 11.874 2.580
Br -0.691 12.109 5.543
Br -3.967 7.383 -0.880
Br -3.005 9.809 3.535
Br -2.948 4.918 -3.631
Tm -2.544 10.152 6.264
Br -1.772 10.480 8.925
Br -4.030 3.289 -0.249
Br -0.753 8.015 6.175
```

Results
formation energy from raw total energies = -1708 meV/atom
crystal system = trigonal
mass density = 4.4 g/cm3
energy = -5.02 eV per atom


Density functional theory data (PBE) for a geometry-optimized RbPuVBr6 structure.

extended XYZ file:
```
18
Lattice="7.146 0.000 0.000 -3.573 6.188 0.000 0.000 0.000 15.560" Properties=species:S:1:pos:R:3 pbc="T T T"
Br 0.977 6.006 13.237
Br 1.455 2.157 5.457
Pu 3.573 2.063 11.670
Br 2.596 0.182 2.323
Br 2.118 4.031 10.103
Br -2.118 4.031 13.237
Br 2.433 3.850 2.323
V 0.000 4.126 11.670
Br -0.977 6.006 10.103
Pu 0.000 4.126 3.890
V 3.573 2.063 3.890
Rb 0.000 0.000 7.780
Br 4.550 0.182 5.457
Br 5.690 2.157 2.323
Br 1.140 2.339 13.237
Rb 0.000 0.000 0.000
Br -1.140 2.339 10.103
Br 4.713 3.850 5.457
```

Results
formation energy from raw total energies = -1351 meV/atom
crystal system = trigonal
mass density = 4.2 g/cm3
energy = -5.18 eV per atom


Density functional theory data (PBE) for a geometry-optimized RbPu2VBr8 structure.

extended XYZ file:
```
12
Lattice="-3.937 5.498 -1.469 -5.623 -3.648 0.503 -0.519 2.001 8.849" Properties=species:S:1:pos:R:3 pbc="T T T"
Br -2.659 0.869 -0.347
Br -7.420 2.981 8.230
Rb -0.260 1.000 4.425
Pu -5.176 2.449 6.257
Br -4.722 4.167 0.673
Br -5.357 -0.317 7.211
Pu -4.903 1.401 1.627
Br -6.789 1.691 3.891
V 0.000 0.000 0.000
Br -5.039 5.361 5.943
Br -5.040 -1.511 1.941
Br -3.290 2.159 3.992
```

Results
formation energy from raw total energies = -1316 meV/atom
crystal system = triclinic
mass density = 5.0 g/cm3
energy = -5.66 eV per atom


Density functional theory data (PBE) for a geometry-optimized RbYPuBr6 structure.

extended XYZ file:
```
18
Lattice="7.516 0.000 0.000 -3.758 6.509 0.000 0.000 0.000 15.298" Properties=species:S:1:pos:R:3 pbc="T T T"
Pu 0.000 4.340 3.825
Br 5.051 4.065 5.490
Br 0.995 6.407 13.139
Br -2.288 4.168 13.139
Br -1.293 2.444 9.808
Br 2.288 4.168 9.808
Y 3.758 2.170 3.825
Pu 3.758 2.170 11.474
Rb 0.000 0.000 0.000
Br -0.995 6.407 9.808
Br 1.471 2.342 5.490
Br 1.293 2.444 13.139
Y 0.000 4.340 11.474
Br 4.753 0.103 5.490
Br 2.763 0.103 2.159
Rb 0.000 0.000 7.649
Br 6.046 2.342 2.159
Br 2.466 4.065 2.159
```

Results
formation energy from raw total energies = -1719 meV/atom
crystal system = trigonal
mass density = 4.0 g/cm3
energy = -5.25 eV per atom


Q: Among the records above, which one has the lowest mass density?
A: RbYPuBr6


Q: Which of these has the lowest energy?
A: RbPu2VBr8